Arrangement one

CsCe4Se6 | GGA-PBE | optimized geometry

The structure belongs to space group I-42m (No. 121); the cell edges are 8.133, 8.133 and 10.575 Å and the angles 90.00°, 90.00° and 90.00°. The inequivalent atoms are Cs at (0.000, 0.000, 0.000), Ce at (0.187, 0.187, 0.400), Se at (0.000, 0.500, 0.000) and Se at (0.156, 0.156, 0.688).

The value obtained for the density of states at the Fermi level is 1.937 states/eV/atom.



Arrangement two

CsCe4Se6 | GGA-PBE | optimized geometry

The structure belongs to space group Cmcm (No. 63); the cell edges are 4.314, 14.213 and 22.481 Å and the angles 90.00°, 90.00° and 90.00°. The inequivalent atoms are Cs at (0.000, 0.159, 0.250), Ce at (0.000, 0.098, 0.628), Ce at (0.000, 0.365, 0.539), Se at (0.000, 0.000, 0.000), Se at (0.000, 0.144, 0.750), Se at (0.000, 0.269, 0.081) and Se at (0.000, 0.466, 0.649).

The value obtained for the density of states at the Fermi level is 2.223 states/eV/atom.



Most stable = arrangement two